1.
{"formula": "KTaF6", "functional": "SCAN", "state": "single point on PBEsol structure", "spacegroup": "P4_2/mcm (132)", "dos_ef_per_ev_atom": 0.0000, "e_form_raw_kj_per_mol_fu": -2625, "lattice_angstrom": [[5.252, 0.000, 0.000], [0.000, 5.252, 0.000], [0.000, 0.000, 9.735]], "species": ["K", "K", "Ta", "Ta", "F", "F", "F", "F", "F", "F", "F", "F", "F", "F", "F", "F"], "fractional_positions": [[0.000, 0.000, 0.250], [0.000, 0.000, 0.750], [0.500, 0.500, 0.000], [0.500, 0.500, 0.500], [0.242, 0.242, 0.000], [0.242, 0.758, 0.500], [0.317, 0.317, 0.362], [0.317, 0.317, 0.638], [0.317, 0.683, 0.138], [0.317, 0.683, 0.862], [0.683, 0.317, 0.138], [0.683, 0.317, 0.862], [0.683, 0.683, 0.362], [0.683, 0.683, 0.638], [0.758, 0.242, 0.500], [0.758, 0.758, 0.000]]}



2.
{"formula": "TcHg2Pt", "functional": "SCAN", "state": "single point on PBEsol structure", "formation_energy_ev_per_atom": 0.3855, "spacegroup": "Imm2 (44)", "dos_ef_per_ev_atom": 0.5547, "de_polymorph_mev_per_atom": 86, "lattice_angstrom": [[-1.387, 2.449, 5.237], [1.387, -2.449, 5.237], [1.387, 2.449, -5.237]], "species": ["Tc", "Hg", "Hg", "Pt"], "fractional_positions": [[0.000, 0.000, 0.000], [0.245, 0.745, 0.500], [0.531, 0.531, 0.000], [0.791, 0.291, 0.500]]}